The following is a GGA-PBE calculation of an optimized crystal structure of TbYSn2, from OQMD.

Cell lengths 3.345, 6.902, 6.902 Å; angles 53.49, 90.00, 90.00 degrees
Fractional positions:
Sn1 0.000 0.115 0.115
Sn2 0.000 0.886 0.886
Y1 0.000 0.358 0.358
Tb1 0.000 0.642 0.642

Output
crystal system = orthorhombic
DFT total energy = -4.7077 eV/atom
symmetry = No. 38

***

The following is a GGA-PBE calculation of an optimized crystal structure of TbYSn, from OQMD.

Cell lengths 5.144, 5.144, 5.144 Å; angles 60.00, 60.00, 60.00 degrees
Fractional positions:
Sn1 0.000 0.000 0.000
Y1 0.750 0.750 0.750
Tb1 0.250 0.250 0.250

Output
crystal system = cubic
DFT total energy = -5.4565 eV/atom
symmetry = No. 216

***

Number 1 is which compound? TbYSn2